GGA+U BMoPbO6, relaxed; SG = P1 (1); electronic total energy = -6.741 eV/atom
1.0
4.887 0.000 0.000
0.076 4.940 0.000
1.649 0.339 5.252
B Mo Pb O
1 1 1 6
Cartesian
0.000 0.000 0.000
5.043 4.715 2.734
2.538 2.395 0.800
1.495 3.463 2.454
1.066 0.565 0.667
3.978 3.781 3.773
3.844 1.151 2.255
4.412 3.912 0.772
5.985 0.762 4.066